VASP calculation (GGA+U) on a geometry-optimized CrP2OF structure.

```
CrP2OF
1.0
4.4941 0.0000 0.0000
0.0000 4.4941 0.0000
0.0000 0.0000 3.5452
O F Cr P
1 1 1 2
Direct
0.0000 0.0000 0.5000 O
0.5000 0.5000 0.5000 F
0.0000 0.0000 0.0000 Cr
0.5000 0.0000 0.0000 P
0.0000 0.5000 0.0000 P
```

* energy above the lowest structure with this stoichiometry: 0 meV per atom
* calculated total energy: -0.3609 Ry per atom
* ρ: 3.45 Mg/m³
* size of the total moment: 0.00 μB/f.u.